Ti4NbAl: optimized geometry, PBE-GGA.

Cell and atoms, written as POSCAR:
```
Ti4NbAl
1.0
2.741 0.000 0.000
0.000 4.604 0.000
-0.004 0.000 8.037
Ti Nb Al
4 1 1
Cartesian
0.000 0.000 1.307 Ti
2.737 0.000 6.729 Ti
0.004 2.302 2.656 Ti
2.733 2.302 5.381 Ti
1.369 0.000 4.018 Nb
1.371 2.302 0.000 Al
```

Computed properties:
- Calculated formation energy: -0.06 eV/atom
- Energy above the lowest structure with this stoichiometry: 0.269 eV/f.u.
- E_tot: -7.63 eV/atom
- Density: 5.10 g/cm³